(P)
Material: SnBRhO2
Method: DFT, GGA-PBE
State: relaxed Values from VASP.

Output
* crystal system: tetragonal
* SG: No. 123
* volume: 13.5 A^3/atom

```
&SYSTEM
  ibrav = 0, nat = 5, ntyp = 4
/
ATOMIC_SPECIES
B 10.81 B.upf
Sn 118.71 Sn.upf
O 16.00 O.upf
Rh 102.91 Rh.upf
CELL_PARAMETERS angstrom
4.1153 0.0000 0.0000
0.0000 3.9738 0.0000
0.0000 0.0000 4.1153
ATOMIC_POSITIONS crystal
B 0.0000 0.5000 0.0000
Sn 0.5000 0.5000 0.5000
O 0.0000 0.0000 0.5000
O 0.5000 0.0000 0.0000
Rh 0.0000 0.0000 0.0000
```

(Q)
Material: SnBRhO2
Method: DFT, GGA-PBE
State: relaxed Values from VASP.

Output
* crystal system: tetragonal
* SG: No. 123
* volume: 15.9 A^3/atom

```
&SYSTEM
  ibrav = 0, nat = 5, ntyp = 4
/
ATOMIC_SPECIES
Sn 118.71 Sn.upf
B 10.81 B.upf
O 16.00 O.upf
Rh 102.91 Rh.upf
CELL_PARAMETERS angstrom
-3.3555 -0.5365 1.6612
2.0439 -4.4151 2.7026
1.0573 2.2395 2.8590
ATOMIC_POSITIONS crystal
Sn 0.0000 0.0000 0.0000
B 0.0000 0.5000 0.0000
O 0.5000 0.0000 0.0000
O 0.0000 0.0000 0.5000
Rh 0.5000 0.5000 0.5000
```

Of them, the most stable is (P) and the least stable is (Q).

(P)
Material: BS2O
Method: DFT, GGA-PBE
State: relaxed Values from VASP.

Output
* crystal system: trigonal
* SG: No. 166
* volume: 12.5 A^3/atom

```
&SYSTEM
  ibrav = 0, nat = 4, ntyp = 3
/
ATOMIC_SPECIES
S 32.06 S.upf
O 16.00 O.upf
B 10.81 B.upf
CELL_PARAMETERS angstrom
-1.2262 2.5396 5.4495
0.2003 -0.1716 6.1303
1.9041 2.3432 5.3417
ATOMIC_POSITIONS crystal
S 0.8981 0.8981 0.8981
S 0.1019 0.1019 0.1019
O 0.0000 0.0000 0.0000
B 0.5000 0.5000 0.5000
```

(Q)
Material: BS2O
Method: DFT, GGA-PBE
State: relaxed Values from VASP.

Output
* crystal system: tetragonal
* SG: No. 122
* volume: 13.4 A^3/atom

```
&SYSTEM
  ibrav = 0, nat = 8, ntyp = 3
/
ATOMIC_SPECIES
S 32.06 S.upf
O 16.00 O.upf
B 10.81 B.upf
CELL_PARAMETERS angstrom
5.2611 0.0000 0.0000
0.0000 5.2611 0.0000
2.6305 2.6305 3.8786
ATOMIC_POSITIONS crystal
S 0.3750 0.4331 0.7500
S 0.8750 0.8169 0.7500
S 0.1831 0.6250 0.2500
S 0.5669 0.1250 0.2500
O 0.0000 0.0000 0.0000
O 0.7500 0.2500 0.5000
B 0.2500 0.7500 0.5000
B 0.5000 0.5000 0.0000
```

Of them, the most stable is (Q) and the least stable is (P).